This record from Alexandria describes crystalline LiScH8Ir2 at its relaxed geometry. The functional is PBE-GGA.

Its crystal system is monoclinic.

Cell: 4.2535 4.4931 5.9766 Å, 64.89 69.15 61.75°
Last column: nearest neighbours and their distance in Å.
Positions (direct):
1 Sc 0.5000 0.5000 0.5000  10 H 2.16-2.30
2 H 0.0766 0.5002 0.3467  1 Ir 1.67, 1 H 1.71
3 Ir 0.2967 0.2574 0.1493  4 H 1.63-1.70
4 H 0.2551 0.6094 0.8803  1 Ir 1.70, 1 Li 1.87
5 H 0.9234 0.4998 0.6533  1 Ir 1.67, 1 H 1.71
6 H 0.6084 0.9811 0.3196  1 Ir 1.63
7 H 0.0909 0.9811 0.3196  1 Ir 1.63
8 Ir 0.7033 0.7426 0.8507  4 H 1.63-1.70
9 H 0.9091 0.0189 0.6804  1 Ir 1.63
10 H 0.3916 0.0189 0.6804  1 Ir 1.63
11 Li 0.0000 0.0000 0.0000  6 H 1.87-2.04
12 H 0.7449 0.3906 0.1197  1 Ir 1.70, 1 Li 1.87

---

This record from Alexandria describes crystalline Li2HIrSe at its relaxed geometry. The functional is PBE-GGA.

Its crystal system is tetragonal.

Cell: 3.9946 3.9946 3.6544 Å, 90.00 90.00 90.00°
Last column: nearest neighbours and their distance in Å.
Positions (direct):
1 Li 0.5000 0.0000 0.0000  2 H 2.00
2 Ir 0.0000 0.0000 0.5000  2 H 1.83
3 H 0.0000 0.0000 0.0000  2 Ir 1.83, 4 Li 2.00
4 Li 0.0000 0.5000 0.0000  2 H 2.00
5 Se 0.5000 0.5000 0.5000  8 Li 2.71, 4 Ir 2.82

---

This record from Alexandria describes crystalline Li2SiHIr at its relaxed geometry. The functional is PBE-GGA.

Its crystal system is tetragonal.

Cell: 3.6631 3.6631 3.9231 Å, 90.00 90.00 90.00°
Last column: nearest neighbours and their distance in Å.
Positions (direct):
1 Li 0.5000 0.0000 0.0000  2 H 1.83
2 Ir 0.0000 0.0000 0.5000  2 H 1.96
3 Si 0.5000 0.5000 0.5000  4 Ir 2.59, 8 Li 2.68
4 H 0.0000 0.0000 0.0000  4 Li 1.83, 2 Ir 1.96
5 Li 0.0000 0.5000 0.0000  2 H 1.83

---

This record from Alexandria describes crystalline LiSnHIr2 at its relaxed geometry. The functional is PBE-GGA.

Its crystal system is tetragonal.

Cell: 4.0706 4.0706 3.7836 Å, 90.00 90.00 90.00°
Last column: nearest neighbours and their distance in Å.
Positions (direct):
1 H 0.0000 0.0000 0.0000  2 Li 1.89, 4 Ir 2.04
2 Ir 0.5000 0.0000 0.0000  2 H 2.04
3 Sn 0.5000 0.5000 0.5000  8 Ir 2.78, 4 Li 2.88
4 Ir 0.0000 0.5000 0.0000  2 H 2.04
5 Li 0.0000 0.0000 0.5000  2 H 1.89

---

This record from Alexandria describes crystalline Li2SnHIr at its relaxed geometry. The functional is PBE-GGA.

Its crystal system is tetragonal.

Cell: 4.1032 4.1032 3.6964 Å, 90.00 90.00 90.00°
Last column: nearest neighbours and their distance in Å.
Positions (direct):
1 H 0.0000 0.0000 0.0000  2 Ir 1.85, 4 Li 2.05
2 Li 0.0000 0.5000 0.0000  2 H 2.05
3 Sn 0.5000 0.5000 0.5000  8 Li 2.76, 4 Ir 2.90
4 Li 0.5000 0.0000 0.0000  2 H 2.05
5 Ir 0.0000 0.0000 0.5000  2 H 1.85

---

This record from Alexandria describes crystalline SrLi2H6Ir at its relaxed geometry. The functional is PBE-GGA.

Its crystal system is trigonal.

Cell: 6.4058 4.7570 4.7570 Å, 120.00 90.00 90.00°
Last column: nearest neighbours and their distance in Å.
Positions (direct):
1 Ir 0.0000 0.0000 0.0000  6 H 1.68
2 H 0.8430 0.1635 0.3270  1 Ir 1.68
3 H 0.8430 0.1635 0.8365  1 Ir 1.68
4 H 0.8430 0.6730 0.8365  1 Ir 1.68
5 H 0.1570 0.8365 0.1635  1 Ir 1.68
6 H 0.1570 0.8365 0.6730  1 Ir 1.68
7 Sr 0.5000 0.0000 0.0000  6 H 2.58
8 Li 0.0683 0.3333 0.6667  3 H 2.01
9 Li 0.9317 0.6667 0.3333  3 H 2.01
10 H 0.1570 0.3270 0.1635  1 Ir 1.68

---

This record from Alexandria describes crystalline SrLi2H8Ir at its relaxed geometry. The functional is PBE-GGA.

Its crystal system is trigonal.

Cell: 4.4981 4.4981 6.5894 Å, 90.00 90.00 120.00°
Last column: nearest neighbours and their distance in Å.
Positions (direct):
1 H 0.8280 0.6560 0.8473  1 Ir 1.68
2 H 0.8280 0.1720 0.8473  1 Ir 1.68
3 H 0.3333 0.6667 0.5560  1 Li 2.15
4 Li 0.3333 0.6667 0.8825  10 H 2.15-2.26
5 H 0.1720 0.8280 0.1527  1 Ir 1.68
6 Li 0.6667 0.3333 0.1175  10 H 2.15-2.26
7 H 0.6667 0.3333 0.4440  1 Li 2.15
8 H 0.1720 0.3440 0.1527  1 Ir 1.68
9 H 0.6560 0.8280 0.1527  1 Ir 1.68
10 Ir 0.0000 0.0000 0.0000  6 H 1.68
11 Sr 0.0000 0.0000 0.5000  12 H 2.62-2.65
12 H 0.3440 0.1720 0.8473  1 Ir 1.68

---

This record from Alexandria describes crystalline Li2TeHIr at its relaxed geometry. The functional is PBE-GGA.

Its crystal system is tetragonal.

Cell: 4.1109 4.1109 3.8253 Å, 90.00 90.00 90.00°
Last column: nearest neighbours and their distance in Å.
Positions (direct):
1 Li 0.5000 0.0000 0.0000  2 H 2.06
2 Ir 0.0000 0.0000 0.5000  2 H 1.91
3 Li 0.0000 0.5000 0.0000  2 H 2.06
4 Te 0.5000 0.5000 0.5000  8 Li 2.81, 4 Ir 2.91
5 H 0.0000 0.0000 0.0000  2 Ir 1.91, 4 Li 2.06

---

| no. | E_tot (eV/atom) |
| --- | --- |
| 1 | -4.636 |
| 2 | -4.302 |
| 3 | -4.611 |
| 4 | -5.646 |
| 5 | -4.328 |
| 6 | -3.883 |
| 7 | -3.728 |
| 8 | -4.201 |